A relaxed Mn2TlAs crystal. Source: the Alexandria database, functional PBE.

The structure in extended XYZ format:
```
4
Lattice="3.2008 0.0000 0.0000 0.0000 3.2008 0.0000 0.0000 0.0000 6.8565" Properties=species:S:1:pos:R:3 pbc="T T T"
Mn 0.0000 0.0000 1.3080
Mn 0.0000 0.0000 5.5485
Tl 1.6004 1.6004 3.4283
As 1.6004 1.6004 0.0000
```

Its offset from the most stable computed form is 72.2 meV/atom. Its crystal system is tetragonal. Its formation energy is 271.8 meV per atom. Its electronic total energy is -24.27 eV per cell.